A plane-wave DFT calculation with PBE was carried out for a geometry-optimized CaAcHo structure.

Computed properties:
- DOS(E_F) (states/eV/cell) = 4.30
- energy relative to the lowest polymorph listed for this composition (meV/atom) = 22
- DFT formation energy (eV per atom) = 0.071

abc: 3.8371 3.8371 8.3901
angles: 103.22 103.22 90.00
Element x y z (fractional)
1 Ac 0.3232 0.3232 0.6464
2 Ca 0.0071 0.0071 0.0143
3 Ho 0.6697 0.6697 0.3394


A plane-wave DFT calculation with PBE was carried out for a geometry-optimized CaAc4Ho2 structure.

Computed properties:
- DOS(E_F) (states/eV/cell) = 15.63
- DFT formation energy (eV per atom) = 0.155

abc: 3.8272 8.7308 17.9263
angles: 90.00 90.00 102.66
Element x y z (fractional)
1 Ca 0.4788 0.9576 0.7500
2 Ca 0.5212 0.0424 0.2500
3 Ac 0.8562 0.7124 0.1360
4 Ac 0.8562 0.7124 0.3640
5 Ac 0.1438 0.2876 0.8640
6 Ac 0.1438 0.2876 0.6360
7 Ac 0.7893 0.5786 0.7500
8 Ac 0.2107 0.4214 0.2500
9 Ac 0.5000 0.0000 0.0000
10 Ac 0.5000 0.0000 0.5000
11 Ho 0.1846 0.3692 0.4421
12 Ho 0.8154 0.6308 0.9421
13 Ho 0.1846 0.3692 0.0579
14 Ho 0.8154 0.6308 0.5579


A plane-wave DFT calculation with PBE was carried out for a geometry-optimized CaAc3Ho structure.

Computed properties:
- DOS(E_F) (states/eV/cell) = 16.93
- DFT formation energy (eV per atom) = 0.052

abc: 3.8991 10.8996 10.3314
angles: 105.33 100.86 90.01
Element x y z (fractional)
1 Ca 0.8182 0.0640 0.8942
2 Ca 0.0122 0.1607 0.2812
3 Ac 0.6132 0.9541 0.4822
4 Ac 0.2173 0.2705 0.6931
5 Ac 0.4150 0.3860 0.0869
6 Ac 0.2177 0.7576 0.6922
7 Ac 0.4156 0.8387 0.0884
8 Ac 0.6128 0.4670 0.4831
9 Ho 0.0169 0.6634 0.2911
10 Ho 0.8136 0.5612 0.8843


A plane-wave DFT calculation with PBE was carried out for a geometry-optimized CaAc2Ho structure.

Computed properties:
- DOS(E_F) (states/eV/cell) = 5.66
- energy relative to the lowest polymorph listed for this composition (meV/atom) = 35
- DFT formation energy (eV per atom) = 0.085

abc: 4.9695 5.6722 5.6722
angles: 90.00 90.00 90.00
Element x y z (fractional)
1 Ac 0.0000 0.0000 0.5000
2 Ac 0.0000 0.5000 0.0000
3 Ca 0.5000 0.0000 0.0000
4 Ho 0.5000 0.5000 0.5000


A plane-wave DFT calculation with PBE was carried out for a geometry-optimized Ca2AcHo structure.

Computed properties:
- DOS(E_F) (states/eV/cell) = 5.80
- energy relative to the lowest polymorph listed for this composition (meV/atom) = 158
- DFT formation energy (eV per atom) = 0.260

abc: 3.6996 3.6996 13.6348
angles: 82.20 82.20 60.00
Element x y z (fractional)
1 Ac 0.5000 0.5000 0.5000
2 Ca 0.0850 0.0850 0.7450
3 Ca 0.9150 0.9150 0.2550
4 Ho 0.0000 0.0000 0.0000


A plane-wave DFT calculation with PBE was carried out for a geometry-optimized Ca2AcHo structure.

Computed properties:
- DOS(E_F) (states/eV/cell) = 5.45
- energy relative to the lowest polymorph listed for this composition (meV/atom) = 24
- DFT formation energy (eV per atom) = 0.127

abc: 4.2426 4.2426 8.6320
angles: 90.00 90.00 90.00
Element x y z (fractional)
1 Ac 0.5000 0.5000 0.0000
2 Ca 0.0000 0.0000 0.7288
3 Ca 0.0000 0.0000 0.2712
4 Ho 0.5000 0.5000 0.5000


A plane-wave DFT calculation with PBE was carried out for a geometry-optimized CaAcHo structure.

Computed properties:
- DOS(E_F) (states/eV/cell) = 3.64
- energy relative to the lowest polymorph listed for this composition (meV/atom) = 24
- DFT formation energy (eV per atom) = 0.073

abc: 3.8022 3.8022 9.2901
angles: 90.00 90.00 120.00
Element x y z (fractional)
1 Ac 0.6667 0.3333 0.3174
2 Ca 0.3333 0.6667 0.6784
3 Ho 0.0000 0.0000 0.0042


A plane-wave DFT calculation with PBE was carried out for a geometry-optimized CaAc4Ho structure.

Computed properties:
- DOS(E_F) (states/eV/cell) = 10.49
- energy relative to the lowest polymorph listed for this composition (meV/atom) = 269
- DFT formation energy (eV per atom) = 0.308

abc: 7.2602 7.2602 7.2602
angles: 60.00 60.00 60.00
Element x y z (fractional)
1 Ac 0.6261 0.6261 0.1218
2 Ac 0.6261 0.1218 0.6261
3 Ac 0.6261 0.6261 0.6261
4 Ac 0.1218 0.6261 0.6261
5 Ca 0.2500 0.2500 0.2500
6 Ho 0.0000 0.0000 0.0000


- Among the records above, which one has the lowest DFT formation energy?
  CaAc3Ho


- Look up the DOS(E_F) of the seventh one.
  3.64 states/eV/cell


- Which of these has the lowest DOS(E_F)?
  number 7